Record 1
NaNdPt4 | OQMD | PBE | optimized geometry; raw total energy = -35.20 eV per formula unit
1.0
0.000 3.845 3.845
3.845 0.000 3.845
3.845 3.845 0.000
Na Nd Pt
1 1 4
Direct
0.000 0.000 0.000
0.750 0.750 0.750
0.375 0.375 0.375
0.375 0.375 0.876
0.375 0.876 0.375
0.876 0.375 0.375


Record 2
BiPtAu2 | OQMD | PBE | optimized geometry; raw total energy = -16.54 eV per formula unit
1.0
0.000 3.411 3.411
3.411 0.000 3.411
3.411 3.411 0.000
Bi Pt Au
1 1 2
Direct
0.000 0.000 0.000
0.250 0.250 0.250
0.500 0.500 0.500
0.750 0.750 0.750


Record 3
PmBPt2 | OQMD | PBE | optimized geometry; raw total energy = -27.36 eV per formula unit
1.0
5.444 0.000 0.000
-2.722 4.715 0.000
0.000 0.000 8.019
Pm B Pt
3 3 6
Direct
0.000 0.500 0.167
0.500 0.000 0.500
0.500 0.500 0.833
0.000 0.500 0.667
0.500 0.000 0.000
0.500 0.500 0.333
0.153 0.307 0.500
0.153 0.847 0.833
0.307 0.153 0.167
0.693 0.847 0.167
0.847 0.153 0.833
0.847 0.693 0.500


Record 4
SrNi9P5 | OQMD | PBE | optimized geometry; raw total energy = -88.77 eV per formula unit
1.0
6.506 0.000 0.000
-3.253 5.635 0.000
0.000 0.000 10.743
Sr Ni P
2 18 10
Direct
0.000 0.000 0.000
0.000 0.000 0.500
0.072 0.536 0.107
0.072 0.536 0.393
0.203 0.405 0.750
0.203 0.797 0.750
0.405 0.203 0.250
0.464 0.536 0.107
0.464 0.536 0.393
0.464 0.928 0.107
0.464 0.928 0.393
0.536 0.072 0.607
0.536 0.072 0.893
0.536 0.464 0.607
0.536 0.464 0.893
0.595 0.797 0.750
0.797 0.203 0.250
0.797 0.595 0.250
0.928 0.464 0.607
0.928 0.464 0.893
0.174 0.347 0.250
0.174 0.826 0.250
0.333 0.667 0.562
0.333 0.667 0.938
0.347 0.174 0.750
0.653 0.826 0.250
0.667 0.333 0.062
0.667 0.333 0.438
0.826 0.174 0.750
0.826 0.653 0.750


Record 5
LiCdO4 | OQMD | PBE | optimized geometry; raw total energy = -26.37 eV per formula unit; excess energy over the best structure of this formula in the dataset = 11 meV per atom
1.0
3.479 0.000 0.000
0.019 9.272 0.000
0.010 2.495 9.208
Li Cd O
4 4 16
Direct
0.011 0.021 0.372
0.011 0.479 0.128
0.989 0.521 0.872
0.989 0.979 0.628
0.490 0.289 0.467
0.492 0.211 0.034
0.508 0.789 0.966
0.510 0.711 0.533
0.003 0.661 0.981
0.004 0.839 0.519
0.240 0.560 0.397
0.242 0.940 0.103
0.440 0.589 0.270
0.443 0.910 0.229
0.480 0.545 0.766
0.480 0.955 0.734
0.520 0.045 0.266
0.520 0.455 0.234
0.557 0.090 0.771
0.560 0.411 0.730
0.758 0.060 0.897
0.760 0.440 0.603
0.996 0.161 0.481
0.997 0.339 0.019


Record 6
Tm4TlHgN2 | OQMD | PBE | optimized geometry; raw total energy = -45.53 eV per formula unit
1.0
3.471 0.000 0.000
-1.736 3.006 0.000
0.000 0.000 15.275
Tm Tl Hg N
4 1 1 2
Direct
0.000 0.000 0.159
0.000 0.000 0.841
0.333 0.667 0.331
0.333 0.667 0.669
0.000 0.000 0.500
0.333 0.667 0.000
0.667 0.333 0.249
0.667 0.333 0.751


Record 7
Ho2Be2SiO7 | OQMD | PBE | optimized geometry; raw total energy = -94.93 eV per formula unit
1.0
7.254 0.000 0.000
0.000 7.254 0.000
0.000 0.000 4.733
Ho Be Si O
4 4 2 14
Direct
0.158 0.342 0.007
0.342 0.842 0.993
0.658 0.158 0.993
0.842 0.658 0.007
0.138 0.638 0.541
0.362 0.138 0.459
0.638 0.862 0.459
0.862 0.362 0.541
0.000 0.000 0.500
0.500 0.500 0.500
0.000 0.500 0.681
0.082 0.837 0.703
0.142 0.642 0.207
0.163 0.082 0.297
0.337 0.582 0.703
0.358 0.142 0.793
0.418 0.337 0.297
0.500 0.000 0.319
0.582 0.663 0.297
0.642 0.858 0.793
0.663 0.418 0.703
0.837 0.918 0.297
0.858 0.358 0.207
0.918 0.163 0.703


Record 8
CsTmLuSe3 | OQMD | PBE | optimized geometry; raw total energy = -29.53 eV per formula unit; excess energy over the best structure of this formula in the dataset = 0 meV per atom
1.0
2.186 -8.209 0.000
2.186 8.209 0.000
0.000 0.000 11.112
Cs Tm Lu Se
2 2 2 6
Direct
0.238 0.762 0.750
0.762 0.238 0.250
0.500 0.500 0.000
0.500 0.500 0.500
0.037 0.963 0.250
0.963 0.037 0.750
0.117 0.883 0.043
0.117 0.883 0.457
0.443 0.557 0.250
0.557 0.443 0.750
0.883 0.117 0.543
0.883 0.117 0.957


Record 9
HfGa2Ir | OQMD | PBE | optimized geometry; raw total energy = -26.24 eV per formula unit
1.0
-2.148 2.148 3.519
2.148 -2.148 3.519
2.148 2.148 -3.519
Hf Ga Ir
1 2 1
Direct
0.000 0.000 0.000
0.250 0.750 0.500
0.750 0.250 0.500
0.500 0.500 0.000


Record 10
TaF | OQMD | PBE | optimized geometry; raw total energy = -14.19 eV per formula unit; excess energy over the best structure of this formula in the dataset = 294 meV per atom
1.0
0.000 2.439 2.439
2.439 0.000 2.439
2.439 2.439 0.000
Ta F
1 1
Direct
0.000 0.000 0.000
0.250 0.250 0.250